# 1
# CaTa2BeIn

An optimized crystal structure of CaTa2BeIn (GGA-PBE, the Alexandria database).

Space-group type: P4/mmm
VASP energy in eV/atom: -4.409
Energy relative to the elements in kcal/mol of atoms: 46.71

Unit cell a=5.1258 b=5.1258 c=5.4212 alpha=90.00 beta=90.00 gamma=90.00
Closest atoms and distances in Å follow each position.
Element x y z (fractional)
1 Ca 0.0000 0.0000 0.0000  2 In 2.71
2 Ta 0.0000 0.5000 0.5000  2 In 2.56
3 Ta 0.5000 0.0000 0.5000  2 In 2.56
4 Be 0.5000 0.5000 0.0000  4 Ca 3.62, 8 Ta 3.73
5 In 0.0000 0.0000 0.5000  4 Ta 2.56, 2 Ca 2.71

# 2
# CaBeIn2Tc

An optimized crystal structure of CaBeIn2Tc (GGA-PBE, the Alexandria database).

Space-group type: P4/mmm
VASP energy in eV/atom: -3.983
Energy relative to the elements in kcal/mol of atoms: 7.63

Unit cell a=4.7576 b=4.7576 c=4.5174 alpha=90.00 beta=90.00 gamma=90.00
Closest atoms and distances in Å follow each position.
Element x y z (fractional)
1 Ca 0.0000 0.0000 0.0000  8 In 3.28, 4 Tc 3.36
2 Be 0.5000 0.5000 0.5000  2 Tc 2.26, 4 In 2.38
3 In 0.0000 0.5000 0.5000  2 Be 2.38
4 In 0.5000 0.0000 0.5000  2 Be 2.38
5 Tc 0.5000 0.5000 0.0000  2 Be 2.26

- Among the records above, which one has the lowest energy relative to the elements?
  CaBeIn2Tc

- Look up the VASP energy of the second one.
  -3.983 eV/atom

- Which of these has the lowest VASP energy?
  CaTa2BeIn

- What is the formula in the second record?
  CaBeIn2Tc